Record 1
A crystal of SrMnIn relaxed with PBEsol, computed with meta-GGA SCAN.

extended XYZ file:
```
3
Lattice="-0.854 3.466 0.609 -3.297 -1.007 1.110 4.057 -1.700 4.600" Properties=species:S:1:pos:R:3 pbc="T T T"
Mn -1.558 1.107 2.286
Sr 1.318 -0.313 3.633
In 0.145 -0.034 0.399
```

Results
- Symmetry: I4mm
- ΔH_f (0 K): -0.107 eV/atom

Record 2
A crystal of TaMnIn3 relaxed with PBEsol, computed with meta-GGA SCAN.

extended XYZ file:
```
5
Lattice="4.842 0.000 0.000 0.000 4.842 0.000 0.000 0.000 4.842" Properties=species:S:1:pos:R:3 pbc="T T T"
In 0.000 0.000 2.421
In 2.421 0.000 0.000
Mn 0.000 0.000 0.000
In 0.000 2.421 0.000
Ta 2.421 2.421 2.421
```

Results
- Symmetry: Pm-3m
- ΔH_f (0 K): 0.975 eV/atom

Record 3
A crystal of TaMnIn relaxed with PBEsol, computed with meta-GGA SCAN.

extended XYZ file:
```
3
Lattice="-2.897 0.271 3.328 -3.838 -2.182 -0.227 -0.709 -3.502 2.603" Properties=species:S:1:pos:R:3 pbc="T T T"
Mn -3.722 -2.706 2.852
Ta -5.583 -4.060 4.278
In 0.000 0.000 0.000
```

Results
- Symmetry: F-43m
- ΔH_f (0 K): 0.846 eV/atom

Record 4
A crystal of Ta4MnIn relaxed with PBEsol, computed with meta-GGA SCAN.

extended XYZ file:
```
6
Lattice="-4.025 1.148 3.400 -1.623 -3.676 3.596 1.025 0.723 5.245" Properties=species:S:1:pos:R:3 pbc="T T T"
Ta -2.545 -2.515 6.389
Ta -1.734 -0.677 4.590
Mn 0.000 0.000 0.000
In -3.467 -1.354 9.181
Ta -3.746 -0.103 6.291
Ta -1.221 -0.315 7.213
```

Results
- Symmetry: F-43m
- ΔH_f (0 K): 0.366 eV/atom